Computed, not measured: a PBEsol-optimized structure of KSiIr2 at the SCAN level of DFT.

## Properties
ΔE_f (raw) ... -0.089 eV/f.u.
Space group ... C2/m
Fermi-level density of states ... 0.256 states/eV/atom
E_tot ... -160.63 eV/cell

The structure in POSCAR format:
```
KSiIr2
1.0
2.7534 0.0000 0.0000
1.3767 5.4388 0.1230
1.3767 2.2921 5.8752
Ir K Si
2 1 1
direct
0.3085 0.7851 0.5979
0.6915 0.2149 0.4021
0.5000 0.0000 0.0000
0.0000 0.5000 0.5000
```